Record 1
First-principles (SCAN) data for a crystal of Zn3In relaxed with PBEsol, as listed in Alexandria via LeMat-Bulk.

Lattice parameters (Å, degrees): 2.811 3.914 6.147 90.00 90.00 90.00
Space group Pmmm (No. 47)
One atom of each set of equivalent atoms:
Zn  0.000  0.000  0.000 [1 per cell]
Zn  0.500  0.500  0.213 [2 per cell]
In  0.000  0.000  0.500 [1 per cell]

## Properties
DOS at the Fermi energy: 0.96 states/eV/cell
DFT formation energy: 0.12 eV per atom
VASP energy: -18.3597 eV/atom

Record 2
First-principles (SCAN) data for a crystal of CaMg8Cu4 relaxed with PBEsol, as listed in Alexandria via LeMat-Bulk.

Lattice parameters (Å, degrees): 9.435 9.435 5.363 90.00 90.00 90.00
Space group I4/mmm (No. 139)
One atom of each set of equivalent atoms:
Ca  0.000  0.000  0.000 [2 per cell]
Mg  0.000  0.218  0.500 [8 per cell]
Mg  0.000  0.340  0.000 [8 per cell]
Cu  0.250  0.250  0.250 [8 per cell]

## Properties
DOS at the Fermi energy: 10.52 states/eV/cell
DFT formation energy: -0.11 eV per atom
VASP energy: -8.5897 eV/atom

Record 3
First-principles (SCAN) data for a crystal of NiTeAu relaxed with PBEsol, as listed in Alexandria via LeMat-Bulk.

Lattice parameters (Å, degrees): 3.7044 3.7044 4.7074 90.00 90.00 120.00
Space group P3m1 (No. 156)
One atom of each set of equivalent atoms:
Ni  0.0000  0.0000  0.0000 [1 per cell]
Te  0.6667  0.3333  0.7251 [1 per cell]
Au  0.3333  0.6667  0.2991 [1 per cell]

## Properties
DOS at the Fermi energy: 1.57 states/eV/cell
E_form (uncorrected): 0.0 eV per formula unit
VASP energy: -40.8501 eV/atom